[1]
Material: DyHfCoOs
Method: DFT, GGA-PBE
State: optimized geometry

Results
- Fermi-level density of states (states/eV per cell) = 8.7
- DFT total energy (eV/atom) = -8.542
- total moment (μB/f.u.) = 0.47

Unit cell a=6.583 b=6.583 c=6.583 alpha=90.00 beta=90.00 gamma=90.00
Space group F-43m (No. 216)
Inequivalent atoms, fractional coordinates:
Dy: 0.000 0.000 0.000 [4 per cell]
Hf: 0.000 0.000 0.500 [4 per cell]
Co: 0.250 0.250 0.250 [4 per cell]
Os: 0.250 0.250 0.750 [4 per cell]

***

[2]
Material: CaSc2TePb
Method: DFT, GGA-PBE
State: optimized geometry

Results
- formation energy (no corrections) (eV per atom) = 0.009
- Fermi-level density of states (states/eV per cell) = 6.5
- total moment (μB/f.u.) = 0.73

Unit cell a=5.348 b=5.348 c=6.179 alpha=90.00 beta=90.00 gamma=90.00
Space group P4/mmm (No. 123)
Inequivalent atoms, fractional coordinates:
Ca: 0.000 0.000 0.000 [1 per cell]
Sc: 0.000 0.500 0.500 [2 per cell]
Te: 0.500 0.500 0.500 [1 per cell]
Pb: 0.500 0.500 0.000 [1 per cell]

***

[3]
Material: YbRh2
Method: DFT, GGA-PBE
State: optimized geometry

Results
- Fermi-level density of states (states/eV per cell) = 127.5
- DFT total energy (eV/atom) = -5.959
- total moment (μB/f.u.) = 0.58

Unit cell a=7.544 b=7.544 c=7.544 alpha=90.00 beta=90.00 gamma=90.00
Space group Fd-3m (No. 227, origin choice 2)
Inequivalent atoms, fractional coordinates:
Yb: 0.125 0.125 0.125 [8 per cell]
Rh: 0.000 0.000 0.500 [16 per cell]

***

[4]
Material: Al2CoBr
Method: DFT, GGA-PBE
State: optimized geometry

Results
- formation energy (no corrections) (eV per atom) = -0.053
- Fermi-level density of states (states/eV per cell) = 2.3
- relative energy among the computed polymorphs (eV per atom) = 0.159
- total moment (μB/f.u.) = 0.64

Unit cell a=2.980 b=2.980 c=7.655 alpha=90.00 beta=90.00 gamma=90.00
Space group P4/mmm (No. 123)
Inequivalent atoms, fractional coordinates:
Al: 0.000 0.000 0.179 [2 per cell]
Co: 0.500 0.500 0.000 [1 per cell]
Br: 0.500 0.500 0.500 [1 per cell]

***

[5]
Material: UZn4Au8
Method: DFT, GGA-PBE
State: optimized geometry

Results
- Fermi-level density of states (states/eV per cell) = 22.0
- DFT total energy (eV/atom) = -3.462
- total moment (μB/f.u.) = 2.81

Unit cell a=9.339 b=9.339 c=5.383 alpha=90.00 beta=90.00 gamma=90.00
Space group I4/mmm (No. 139)
Inequivalent atoms, fractional coordinates:
U: 0.000 0.000 0.000 [2 per cell]
Zn: 0.250 0.250 0.250 [8 per cell]
Au: 0.000 0.216 0.500 [8 per cell]
Au: 0.000 0.334 0.000 [8 per cell]

***

[6]
Material: BaNpTe3Se
Method: DFT, GGA-PBE
State: optimized geometry

Results
- formation energy (no corrections) (eV per atom) = -0.941
- Fermi-level density of states (states/eV per cell) = 18.7
- total moment (μB/f.u.) = 3.05

Unit cell a=9.635 b=4.287 c=10.328 alpha=90.00 beta=111.35 gamma=90.00
Space group P2_1/m (No. 11)
Inequivalent atoms, fractional coordinates:
Ba: 0.210 0.250 0.227 [2 per cell]
Np: 0.301 0.750 0.786 [2 per cell]
Te: 0.097 0.250 0.858 [2 per cell]
Te: 0.399 0.750 0.519 [2 per cell]
Te: 0.440 0.750 0.121 [2 per cell]
Se: 0.194 0.250 0.578 [2 per cell]

***

[7]
Material: In3TeI
Method: DFT, GGA-PBE
State: optimized geometry

Results
- formation energy (no corrections) (eV per atom) = -0.253
- Fermi-level density of states (states/eV per cell) = 0.0
- relative energy among the computed polymorphs (eV per atom) = 0.000
- total moment (μB/f.u.) = 0.00

Unit cell a=8.986 b=4.625 c=9.713 alpha=90.00 beta=102.40 gamma=90.00
Space group P2_1/m (No. 11)
Inequivalent atoms, fractional coordinates:
In: 0.018 0.250 0.371 [2 per cell]
In: 0.304 0.750 0.502 [2 per cell]
In: 0.429 0.750 0.089 [2 per cell]
Te: 0.382 0.250 0.301 [2 per cell]
I: 0.178 0.250 0.818 [2 per cell]

***

[8]
Material: InSbPb2Se5
Method: DFT, GGA-PBE
State: optimized geometry

Results
- formation energy (no corrections) (eV per atom) = -0.454
- total moment (μB/f.u.) = 0.00

Unit cell a=4.182 b=18.599 c=13.158 alpha=90.00 beta=90.00 gamma=90.00
Space group Cmc2_1 (No. 36)
Inequivalent atoms, fractional coordinates:
In: 0.000 0.055 0.000 [4 per cell]
Sb: 0.000 0.289 0.583 [4 per cell]
Pb: 0.000 0.376 0.232 [4 per cell]
Pb: 0.000 0.376 0.869 [4 per cell]
Se: 0.000 0.013 0.330 [4 per cell]
Se: 0.000 0.143 0.570 [4 per cell]
Se: 0.000 0.190 0.928 [4 per cell]
Se: 0.000 0.214 0.234 [4 per cell]
Se: 0.000 0.458 0.620 [4 per cell]

***

[9]
Material: HoAl5Ag7
Method: DFT, GGA-PBE
State: optimized geometry

Results
- Fermi-level density of states (states/eV per cell) = 10.1
- DFT total energy (eV/atom) = -3.517
- total moment (μB/f.u.) = 0.00

Unit cell a=5.424 b=9.317 c=9.192 alpha=90.00 beta=90.00 gamma=90.00
Space group Imm2 (No. 44)
Inequivalent atoms, fractional coordinates:
Ho: 0.000 0.000 0.000 [2 per cell]
Al: 0.000 0.500 0.276 [2 per cell]
Al: 0.249 0.254 0.747 [8 per cell]
Ag: 0.000 0.000 0.345 [2 per cell]
Ag: 0.000 0.000 0.667 [2 per cell]
Ag: 0.000 0.296 0.493 [4 per cell]
Ag: 0.000 0.343 0.004 [4 per cell]
Ag: 0.000 0.500 0.721 [2 per cell]

***

[10]
Material: ScTi2Hg
Method: DFT, GGA-PBE
State: optimized geometry

Results
- Fermi-level density of states (states/eV per cell) = 6.1
- DFT total energy (eV/atom) = -5.639
- total moment (μB/f.u.) = 1.38

Unit cell a=4.197 b=4.197 c=4.355 alpha=90.00 beta=90.00 gamma=90.00
Space group P4/mmm (No. 123)
Inequivalent atoms, fractional coordinates:
Sc: 0.000 0.000 0.000 [1 per cell]
Ti: 0.000 0.500 0.500 [2 per cell]
Hg: 0.500 0.500 0.000 [1 per cell]

***

[11]
Material: Na4Sb
Method: DFT, GGA-PBE
State: optimized geometry

Results
- formation energy (no corrections) (eV per atom) = -0.138
- Fermi-level density of states (states/eV per cell) = 2.7
- total moment (μB/f.u.) = 0.54

Unit cell a=5.976 b=5.976 c=5.976 alpha=90.00 beta=90.00 gamma=90.00
Space group Pm-3m (No. 221)
Inequivalent atoms, fractional coordinates:
Na: 0.000 0.000 0.000 [1 per cell]
Na: 0.000 0.500 0.500 [3 per cell]
Sb: 0.500 0.500 0.500 [1 per cell]

***

[12]
Material: Pm4MgGa2Ru
Method: DFT, GGA-PBE
State: optimized geometry

Results
- Fermi-level density of states (states/eV per cell) = 13.9
- DFT total energy (eV/atom) = -4.869
- total moment (μB/f.u.) = 0.00

Unit cell a=5.1998 b=5.1998 c=25.3435 alpha=90.00 beta=90.00 gamma=120.00
Space group R-3m (No. 166, hexagonal axes)
Inequivalent atoms, fractional coordinates:
Pm: 0.0000 0.0000 0.1136 [6 per cell]
Pm: 0.0000 0.0000 0.3663 [6 per cell]
Mg: 0.0000 0.0000 0.5000 [3 per cell]
Ga: 0.0000 0.0000 0.2383 [6 per cell]
Ru: 0.0000 0.0000 0.0000 [3 per cell]